# 1
Entry from Alexandria: a relaxed Ac2PPt crystal (PBE).

a = 4.3940 Å, b = 4.3940 Å, c = 9.3050 Å
α = 76.34°, β = 76.34°, γ = 60.00°
Last column: nearest neighbours and their distance in Å.
Fractional coordinates of all 4 atoms:
Ac  0.8974  0.8974  0.3078  1 Pt 2.76, 3 P 3.07
Ac  0.1026  0.1026  0.6922  1 Pt 2.76, 3 P 3.07
Pt  0.0000  0.0000  0.0000  2 Ac 2.76
P  0.5000  0.5000  0.5000  6 Ac 3.07

Output
ΔE to the lowest computed polymorph in eV per formula unit: 3.25
Space-group type: R-3m (166)
Formation energy in eV per formula unit: -2.0
M_tot in μB/cell: 0.0
D(E_F) in states/eV/atom: 0.66



# 2
Entry from Alexandria: a relaxed AcPPt3 crystal (PBE).

a = 6.2646 Å, b = 6.2646 Å, c = 6.2646 Å
α = 140.89°, β = 140.89°, γ = 56.51°
Last column: nearest neighbours and their distance in Å.
Fractional coordinates of all 5 atoms:
Ac  0.6069  0.6069  0.0000  8 Pt 3.09-3.40, 4 P 3.32
Pt  0.1856  0.1856  0.0000  1 P 2.35
Pt  0.3640  0.8640  0.5000  2 P 2.42
Pt  0.8640  0.3640  0.5000  2 P 2.42
P  0.9726  0.9726  0.0000  5 Pt 2.35-2.42

Output
ΔE to the lowest computed polymorph in eV per formula unit: 0.00
Space-group type: I4mm (107)
Formation energy in eV per formula unit: -4.9
M_tot in μB/cell: 0.0
D(E_F) in states/eV/atom: 0.56



| no. | total DFT energy (no corrections) (eV per atom) |
| --- | --- |
| 1 | -5.41 |
| 2 | -6.50 |